VASP calculation (GGA-PBEsol) on ScRePb3 after structural relaxation.

Calculated values
**Space-group type**: Pm-3m, No. 221
**Magnetic moment**: 0.0 μB/f.u.
**ΔH_f (0 K)**: 0.802 eV per atom

a b c (Å): 5.2528 5.2528 5.2528
angles (deg): 90.00 90.00 90.00
Last column: nearest neighbours and their distance in Å.
Fractional positions:
1 Sc 0.0000 0.0000 0.0000  12 Pb 3.71
2 Re 0.5000 0.5000 0.5000  6 Pb 2.63
3 Pb 0.0000 0.5000 0.5000  2 Re 2.63
4 Pb 0.5000 0.0000 0.5000  2 Re 2.63
5 Pb 0.5000 0.5000 0.0000  2 Re 2.63



VASP calculation (GGA-PBEsol) on MgRu3S after structural relaxation.

Calculated values
**Space-group type**: Pm-3m, No. 221
**Raw formation energy**: 0.199 eV/atom
**Magnetic moment**: 0.0 μB/f.u.
**Energy above the most stable polymorph in this dataset**: 0.00 eV/f.u.

a b c (Å): 4.2855 4.2855 4.2855
angles (deg): 90.00 90.00 90.00
Last column: nearest neighbours and their distance in Å.
Fractional positions:
1 Mg 0.0000 0.0000 0.0000  12 Ru 3.03
2 Ru 0.0000 0.5000 0.5000  2 S 2.14
3 Ru 0.5000 0.0000 0.5000  2 S 2.14
4 Ru 0.5000 0.5000 0.0000  2 S 2.14
5 S 0.5000 0.5000 0.5000  6 Ru 2.14



Q: What is the magnetic moment in the second record?
A: 0.0 μB/f.u.